# 1
5
Lattice="-1.0915 4.2994 -1.4385 -2.2137 0.7858 4.0284 4.3522 1.7884 2.0428" Properties=species:S:1:pos:R:3 comment="GGA-PBE CaMoP2Cl, relaxed" dos_at_fermi_per_ev_fu=4.03 e_above_lowest_polymorph_ev_per_fu=0.00 raw_formation_energy_mev_per_atom=-423 m_tot_mub_per_cell=0.00 pbc="T T T"
P -1.1068 0.3929 2.0142
P -0.5458 2.1497 -0.7193
Mo 0.0000 0.0000 0.0000
Ca 0.5235 3.4368 2.3163
Cl 2.1761 0.8942 1.0214

# 2
10
Lattice="7.3617 0.0000 0.0000 0.0000 7.3617 0.0000 3.6809 3.6809 5.2054" Properties=species:S:1:pos:R:3 comment="GGA-PBE Rb2CaMoCl6, relaxed" dos_at_fermi_per_ev_fu=5.89 raw_formation_energy_mev_per_atom=-1556 m_tot_mub_per_cell=2.00 pbc="T T T"
Mo 0.0000 0.0000 0.0000
Ca 3.6809 3.6809 0.0000
Rb 7.3617 3.6809 2.6027
Rb 3.6809 7.3617 2.6027
Cl 3.6809 3.6809 2.7063
Cl 7.3617 7.3617 2.4990
Cl 1.7669 1.7669 0.0000
Cl 5.5948 5.5948 0.0000
Cl 5.5948 1.7669 0.0000
Cl 1.7669 5.5948 0.0000

# 3
5
Lattice="-4.0840 2.2966 0.1623 -2.1305 -3.8950 1.5063 0.9369 1.3295 4.7628" Properties=species:S:1:pos:R:3 comment="GGA-PBE CaMoS2Cl, relaxed" dos_at_fermi_per_ev_fu=3.02 e_above_lowest_polymorph_ev_per_fu=0.00 raw_formation_energy_mev_per_atom=-802 m_tot_mub_per_cell=0.14 pbc="T T T"
S -1.0652 -1.9475 0.7532
S -2.0420 1.1483 0.0811
Mo 0.0000 0.0000 0.0000
Ca -2.6388 -0.1345 3.2157
Cl 0.4684 0.6647 2.3814